This record from the Alexandria database describes a geometry-optimized BC2 structure. The functional is PBE.

Output
Magnetic moment in μB per formula unit: 0.00
Energy of formation from the pure elements in eV per atom: 0.3512
E above lowest polymorph in eV per atom: 0.111
Theoretical density in g cm⁻³: 3.0
N(E_F) in states/eV/cell: 1.460

Cell: 4.531 4.634 4.638 Å, 60.51 66.97 76.95°
Space group P1 (No. 1)
Asymmetric unit:
B  0.000  0.000  0.000 x1
B  0.044  0.286  0.385 x1
B  0.441  0.010  0.882 x1
B  0.520  0.992  0.465 x1
C  0.019  0.659  0.672 x1
C  0.392  0.653  0.546 x1
C  0.404  0.351  0.188 x1
C  0.531  0.622  0.198 x1
C  0.533  0.348  0.830 x1
C  0.861  0.712  0.001 x1
C  0.896  0.355  0.710 x1
C  0.899  0.990  0.408 x1

---

This record from the Alexandria database describes a geometry-optimized CdRu4Rh structure. The functional is PBE.

Output
Magnetic moment in μB per formula unit: 2.80
Energy of formation from the pure elements in eV per atom: 0.5449
Theoretical density in g cm⁻³: 10.8
N(E_F) in states/eV/cell: 40.128

Cell: 7.248 7.248 7.248 Å, 90.00 90.00 90.00°
Space group F-43m (No. 216)
Asymmetric unit:
Cd  0.000  0.000  0.000 x4
Ru  0.125  0.125  0.375 x16
Rh  0.250  0.250  0.750 x4